(1)
Compound: Er3TaO7
Source: Alexandria via LeMat-Bulk
Functional: GGA-PBEsol
Structure: optimized geometry

Lattice parameters (Å, degrees): 6.321 6.321 7.373 90.00 90.00 110.68
Sites, in units of the cell vectors:
Er 0.060 0.517 0.750
Er 0.000 0.000 0.000
Er 0.000 0.000 0.500
Er 0.483 0.940 0.250
Er 0.517 0.060 0.750
Er 0.940 0.483 0.250
Ta 0.500 0.500 0.000
Ta 0.500 0.500 0.500
O 0.111 0.846 0.250
O 0.154 0.889 0.750
O 0.174 0.435 0.462
O 0.174 0.435 0.038
O 0.565 0.826 0.962
O 0.565 0.826 0.538
O 0.413 0.413 0.750
O 0.587 0.587 0.250
O 0.435 0.174 0.038
O 0.435 0.174 0.462
O 0.826 0.565 0.962
O 0.826 0.565 0.538
O 0.846 0.111 0.250
O 0.889 0.154 0.750

Computed properties:
**Symmetry**: Cmcm, No. 63
**Energy relative to the lowest polymorph listed for this composition**: 35 meV per atom
**E_form (uncorrected)**: -3.457 eV/atom
**D(E_F)**: 0.00 states/eV/f.u.

(2)
Compound: CaZnSi
Source: Alexandria via LeMat-Bulk
Functional: GGA-PBEsol
Structure: optimized geometry

Lattice parameters (Å, degrees): 4.186 4.186 8.049 90.00 90.00 120.00
Sites, in units of the cell vectors:
Zn 0.333 0.667 0.250
Zn 0.667 0.333 0.750
Si 0.667 0.333 0.250
Si 0.333 0.667 0.750
Ca 0.000 0.000 0.000
Ca 0.000 0.000 0.500

Computed properties:
**Symmetry**: P6_3/mmc, No. 194
**E_form (uncorrected)**: -0.477 eV/atom
**D(E_F)**: 0.37 states/eV/f.u.

(3)
Compound: CoSbMo2
Source: Alexandria via LeMat-Bulk
Functional: GGA-PBEsol
Structure: optimized geometry

Lattice parameters (Å, degrees): 2.911 2.911 7.535 90.00 90.00 102.94
Sites, in units of the cell vectors:
Sb 0.000 0.000 0.477
Mo 0.000 0.000 0.024
Mo 0.500 0.500 0.767
Co 0.500 0.500 0.232

Computed properties:
**Symmetry**: Cmm2, No. 35
**E_form (uncorrected)**: 0.367 eV/atom
**D(E_F)**: 2.12 states/eV/f.u.

(4)
Compound: Ce2Sb3Pd9
Source: Alexandria via LeMat-Bulk
Functional: GGA-PBEsol
Structure: optimized geometry

Lattice parameters (Å, degrees): 7.931 7.931 9.213 90.00 90.00 119.67
Sites, in units of the cell vectors:
Ce 0.019 0.326 0.250
Ce 0.981 0.674 0.750
Ce 0.326 0.019 0.250
Ce 0.674 0.981 0.750
Sb 0.000 0.000 0.500
Sb 0.321 0.679 0.000
Sb 0.679 0.321 0.500
Sb 0.679 0.321 0.000
Sb 0.000 0.000 0.000
Sb 0.321 0.679 0.500
Pd 0.332 0.332 0.035
Pd 0.635 0.440 0.250
Pd 0.365 0.560 0.750
Pd 0.440 0.635 0.250
Pd 0.345 0.003 0.910
Pd 0.655 0.997 0.410
Pd 0.003 0.345 0.590
Pd 0.997 0.655 0.090
Pd 0.655 0.997 0.090
Pd 0.345 0.003 0.590
Pd 0.997 0.655 0.410
Pd 0.849 0.849 0.250
Pd 0.332 0.332 0.465
Pd 0.668 0.668 0.965
Pd 0.003 0.345 0.910
Pd 0.668 0.668 0.535
Pd 0.151 0.151 0.750
Pd 0.560 0.365 0.750

Computed properties:
**Symmetry**: Cmcm, No. 63
**E_form (uncorrected)**: -0.680 eV/atom
**D(E_F)**: 14.80 states/eV/f.u.

What did the first record say?
Compound: Er3TaO7
Source: Alexandria via LeMat-Bulk
Functional: GGA-PBEsol
Structure: optimized geometry

Lattice parameters (Å, degrees): 6.321 6.321 7.373 90.00 90.00 110.68
Sites, in units of the cell vectors:
Er 0.060 0.517 0.750
Er 0.000 0.000 0.000
Er 0.000 0.000 0.500
Er 0.483 0.940 0.250
Er 0.517 0.060 0.750
Er 0.940 0.483 0.250
Ta 0.500 0.500 0.000
Ta 0.500 0.500 0.500
O 0.111 0.846 0.250
O 0.154 0.889 0.750
O 0.174 0.435 0.462
O 0.174 0.435 0.038
O 0.565 0.826 0.962
O 0.565 0.826 0.538
O 0.413 0.413 0.750
O 0.587 0.587 0.250
O 0.435 0.174 0.038
O 0.435 0.174 0.462
O 0.826 0.565 0.962
O 0.826 0.565 0.538
O 0.846 0.111 0.250
O 0.889 0.154 0.750

Computed properties:
**Symmetry**: Cmcm, No. 63
**Energy relative to the lowest polymorph listed for this composition**: 35 meV per atom
**E_form (uncorrected)**: -3.457 eV/atom
**D(E_F)**: 0.00 states/eV/f.u.